No. 1
Entry from Alexandria: a relaxed structure of Be2CdPd2 (GGA-PBEsol).

Calculated values
Magnetic moment: 0.00 μB per cell
Total DFT energy (no corrections): -46.6 eV per cell
ΔH_f (0 K): -212.7 kJ/mol of formula units

abc: 2.793 6.713 6.713
angles: 90.00 90.00 90.00
Element x y z (fractional)
Be 0.000 0.875 0.625
Be 0.000 0.125 0.375
Be 0.000 0.375 0.875
Be 0.000 0.625 0.125
Cd 0.000 0.500 0.500
Cd 0.000 0.000 0.000
Pd 0.500 0.162 0.662
Pd 0.500 0.838 0.338
Pd 0.500 0.662 0.838
Pd 0.500 0.338 0.162



No. 2
Entry from Alexandria: a relaxed structure of Be2CdPd2 (GGA-PBEsol).

Calculated values
Magnetic moment: 0.00 μB per cell
Total DFT energy (no corrections): -22.3 eV per cell
ΔH_f (0 K): -118.4 kJ/mol of formula units

abc: 3.368 3.368 6.490
angles: 105.04 105.04 90.00
Element x y z (fractional)
Pd 0.380 0.380 0.761
Pd 0.620 0.620 0.239
Be 0.750 0.250 0.500
Be 0.250 0.750 0.500
Cd 0.000 0.000 0.000



No. 3
Entry from Alexandria: a relaxed structure of Be2CdPt2 (GGA-PBEsol).

Calculated values
Magnetic moment: 0.00 μB per cell
Total DFT energy (no corrections): -51.8 eV per cell
ΔH_f (0 K): -266.8 kJ/mol of formula units

abc: 2.747 6.836 6.836
angles: 90.00 90.00 90.00
Element x y z (fractional)
Be 0.000 0.128 0.372
Be 0.000 0.872 0.628
Be 0.000 0.628 0.128
Be 0.000 0.372 0.872
Cd 0.000 0.000 0.000
Cd 0.000 0.500 0.500
Pt 0.500 0.340 0.160
Pt 0.500 0.660 0.840
Pt 0.500 0.840 0.340
Pt 0.500 0.160 0.660



No. 4
Entry from Alexandria: a relaxed structure of BeCdSi2Pt (GGA-PBEsol).

Calculated values
Magnetic moment: 0.00 μB per cell
Formation energy without anion corrections: 1.37 eV per atom
Total DFT energy (no corrections): -16.8 eV per cell

abc: 4.230 4.781 4.781
angles: 90.00 90.00 90.00
Element x y z (fractional)
Si 0.000 0.000 0.500
Si 0.000 0.500 0.000
Cd 0.000 0.000 0.000
Pt 0.500 0.500 0.500
Be 0.500 0.000 0.000



No. 5
Entry from Alexandria: a relaxed structure of SrBeCdPt2 (GGA-PBEsol).

Calculated values
Magnetic moment: 0.00 μB per cell
Total DFT energy (no corrections): -21.0 eV per cell
ΔH_f (0 K): -3.4 kJ/mol of formula units

abc: 4.323 4.323 5.153
angles: 90.00 90.00 90.00
Element x y z (fractional)
Cd 0.500 0.500 0.500
Pt 0.500 0.000 0.000
Pt 0.000 0.500 0.000
Sr 0.000 0.000 0.500
Be 0.000 0.000 0.000



No. 6
Entry from Alexandria: a relaxed structure of Rb3BeCd (GGA-PBEsol).

Calculated values
Magnetic moment: 0.00 μB per cell
Total DFT energy (no corrections): -4.3 eV per cell
ΔH_f (0 K): 378.5 kJ/mol of formula units

abc: 6.760 6.760 6.760
angles: 90.00 90.00 90.00
Element x y z (fractional)
Be 0.500 0.500 0.500
Rb 0.000 0.000 0.500
Rb 0.000 0.500 0.000
Rb 0.500 0.000 0.000
Cd 0.000 0.000 0.000



No. 7
Entry from Alexandria: a relaxed structure of Be2CdRe (GGA-PBEsol).

Calculated values
Magnetic moment: 0.00 μB per cell
Total DFT energy (no corrections): -21.2 eV per cell
ΔH_f (0 K): 127.3 kJ/mol of formula units

abc: 2.667 3.023 6.239
angles: 90.00 90.00 90.00
Element x y z (fractional)
Be 0.500 0.500 0.192
Be 0.000 0.000 0.025
Re 0.500 0.500 0.812
Cd 0.000 0.000 0.470



No. 8
Entry from Alexandria: a relaxed structure of Be2CdRe (GGA-PBEsol).

Calculated values
Magnetic moment: 0.00 μB per cell
Total DFT energy (no corrections): -21.4 eV per cell
ΔH_f (0 K): 111.8 kJ/mol of formula units

abc: 2.670 3.954 4.910
angles: 90.00 105.77 90.00
Element x y z (fractional)
Re 0.781 0.500 0.562
Cd 0.459 0.000 0.919
Be 0.200 0.000 0.401
Be 0.062 0.500 0.123



No. 9
Entry from Alexandria: a relaxed structure of BeCd2Re (GGA-PBEsol).

Calculated values
Magnetic moment: 0.00 μB per cell
Total DFT energy (no corrections): -17.3 eV per cell
ΔH_f (0 K): 230.3 kJ/mol of formula units

abc: 3.715 3.858 4.270
angles: 90.00 90.00 90.00
Element x y z (fractional)
Re 0.500 0.000 0.500
Be 0.000 0.500 0.500
Cd 0.000 0.000 0.000
Cd 0.500 0.500 0.000



No. 10
Entry from Alexandria: a relaxed structure of BeCd2Re (GGA-PBEsol).

Calculated values
Magnetic moment: 0.00 μB per cell
Total DFT energy (no corrections): -18.2 eV per cell
ΔH_f (0 K): 148.6 kJ/mol of formula units

abc: 2.738 2.738 8.951
angles: 90.00 90.00 110.13
Element x y z (fractional)
Cd 0.500 0.500 0.732
Cd 0.000 0.000 0.035
Be 0.500 0.500 0.272
Re 0.000 0.000 0.461



No. 11
Entry from Alexandria: a relaxed structure of BeCd2Re (GGA-PBEsol).

Calculated values
Magnetic moment: 0.00 μB per cell
Total DFT energy (no corrections): -17.3 eV per cell
ΔH_f (0 K): 237.6 kJ/mol of formula units

abc: 2.804 2.804 9.049
angles: 90.00 90.00 118.41
Element x y z (fractional)
Cd 0.000 0.000 0.770
Cd 0.000 0.000 0.230
Be 0.500 0.500 0.000
Re 0.500 0.500 0.500



No. 12
Entry from Alexandria: a relaxed structure of BeCd2Rh (GGA-PBEsol).

Calculated values
Magnetic moment: 0.00 μB per cell
Total DFT energy (no corrections): -14.7 eV per cell
ΔH_f (0 K): -12.5 kJ/mol of formula units

abc: 3.027 3.955 5.404
angles: 90.00 106.16 90.00
Element x y z (fractional)
Be 0.296 0.500 0.718
Cd 0.921 0.000 0.969
Cd 0.583 0.500 0.289
Rh 0.200 0.000 0.525



What is the formula in the fifth record?
SrBeCdPt2